Record 1
The following is a SCAN calculation of BaP2OF at its PBEsol-relaxed geometry, from the Alexandria database.

## Properties
Space group ... P4/mmm
Raw formation energy ... 54.3 kJ per mole of atoms

POSCAR file:
```
BaP2OF
1.0
-3.941 2.111 0.583
-2.947 -5.876 1.356
1.395 0.804 6.516
P Ba O F
2 1 1 1
Direct
0.000 0.000 0.500
0.000 0.500 0.000
0.000 0.000 0.000
0.500 0.000 0.000
0.500 0.500 0.500
```



Record 2
The following is a SCAN calculation of Ba5P3O12F at its PBEsol-relaxed geometry, from the Alexandria database.

## Properties
Space group ... P6_3/m
Raw formation energy ... -313.6 kJ per mole of atoms

POSCAR file:
```
Ba5P3O12F
1.0
-2.501 -6.281 -3.740
-2.099 -4.459 8.893
-7.081 5.603 -4.675
Ba P O F
10 6 24 2
Direct
0.500 0.667 0.333
0.500 0.333 0.667
0.000 0.333 0.667
0.000 0.667 0.333
0.750 0.981 0.241
0.250 0.019 0.759
0.750 0.759 0.741
0.250 0.241 0.259
0.750 0.259 0.019
0.250 0.741 0.981
0.750 0.368 0.402
0.250 0.632 0.598
0.750 0.598 0.966
0.250 0.402 0.034
0.750 0.034 0.632
0.250 0.966 0.368
0.750 0.661 0.140
0.250 0.339 0.860
0.750 0.860 0.521
0.250 0.140 0.479
0.750 0.479 0.339
0.250 0.521 0.661
0.750 0.459 0.579
0.250 0.541 0.421
0.750 0.421 0.880
0.250 0.579 0.120
0.750 0.120 0.541
0.250 0.880 0.459
0.587 0.265 0.348
0.413 0.735 0.652
0.587 0.652 0.917
0.087 0.735 0.652
0.413 0.348 0.083
0.913 0.265 0.348
0.587 0.083 0.735
0.087 0.348 0.083
0.413 0.917 0.265
0.913 0.652 0.917
0.087 0.917 0.265
0.913 0.083 0.735
0.750 0.000 0.000
0.250 0.000 0.000
```



Record 3
The following is a SCAN calculation of Ba2PdO2F2 at its PBEsol-relaxed geometry, from the Alexandria database.

## Properties
Space group ... I4/mmm
Raw formation energy ... -263.8 kJ per mole of atoms

POSCAR file:
```
Ba2PdO2F2
1.0
4.134 0.000 0.000
0.000 4.134 0.000
-2.067 -2.067 7.015
O Ba Pd F
2 2 1 2
Direct
0.000 0.500 0.000
0.500 0.000 0.000
0.365 0.365 0.730
0.635 0.635 0.270
0.000 0.000 0.000
0.750 0.250 0.500
0.250 0.750 0.500
```



Record 4
The following is a SCAN calculation of BaSr3Pd2O4F4 at its PBEsol-relaxed geometry, from the Alexandria database.

## Properties
Space group ... P4mm
Raw formation energy ... -272.1 kJ per mole of atoms

POSCAR file:
```
BaSr3Pd2O4F4
1.0
4.041 0.000 0.000
0.000 4.041 0.000
0.000 0.000 13.111
Ba Sr Pd O F
1 3 2 4 4
Direct
0.500 0.500 0.136
0.000 0.000 0.638
0.000 0.000 0.371
0.500 0.500 0.857
0.000 0.000 0.003
0.500 0.500 0.494
0.500 0.000 0.983
0.000 0.500 0.508
0.000 0.500 0.983
0.500 0.000 0.508
0.000 0.500 0.263
0.500 0.000 0.746
0.500 0.000 0.263
0.000 0.500 0.746
```